VASP calculation (GGA-PBE) on crystalline PuCdIn at its relaxed geometry.

The structure in POSCAR format:
```
PuCdIn
1.0
0.0000 3.5369 3.5369
3.5369 0.0000 3.5369
3.5369 3.5369 0.0000
Cd In Pu
1 1 1
direct
0.5000 0.5000 0.5000 Cd
0.2500 0.2500 0.2500 In
0.0000 0.0000 0.0000 Pu
```

Total energy in eV/atom: -5.82
Density in g/cm³: 8.843
Magnetization in Bohr magnetons per cell: 5.20
Calculated volume in Å³ per cell: 88



VASP calculation (GGA-PBE) on crystalline Rb2CdIn at its relaxed geometry.

The structure in POSCAR format:
```
Rb2CdIn
1.0
4.3931 -2.6393 -3.0507
0.3778 -5.9506 -0.1379
-1.2219 -2.9497 -5.0377
Cd In Rb
1 1 2
direct
0.0000 0.0000 0.0000 Cd
0.7500 0.7500 0.7500 In
0.2500 0.2500 0.2500 Rb
0.5000 0.5000 0.5000 Rb
```

Total energy in eV/atom: -1.32
Density in g/cm³: 4.407
Calculated volume in Å³ per cell: 150



Number 1 is which compound?
PuCdIn